ZnGa2Sn | GGA-PBE | relaxed

Unit cell a=5.852 b=5.852 c=7.247 alpha=90.00 beta=90.00 gamma=138.78
Element x y z (fractional)
Zn (0.225, 0.775, 0.750)
Zn (0.775, 0.225, 0.250)
Ga (0.370, 0.630, 0.047)
Ga (0.370, 0.630, 0.453)
Ga (0.630, 0.370, 0.547)
Ga (0.630, 0.370, 0.953)
Sn (0.051, 0.949, 0.250)
Sn (0.949, 0.051, 0.750)

Summary:
Formation energy from the elements ... 0.06 eV/atom
V ... 20.446 Å³/atom
Offset from the most stable computed form ... 0.0 meV/atom
Mass density ... 6.57 g cm⁻³